10
Lattice="-2.2271 -4.8039 0.4327 -0.1159 -3.2616 -4.1921 4.7276 -5.0879 0.4613" Properties=species:S:1:pos:R:3 comment="AcCoSe2O6 | Alexandria | PBE with a Hubbard U | optimized geometry" final_energy_ev_per_atom=-6.00 density_g_cm3=5.9 vol_a3_per_cell=152.7 space_group="R-3, No. 148" pbc="T T T"
O -0.0253 -4.7258 -0.8754
O -0.9748 -7.4767 -1.6746
O 3.3593 -5.6767 -1.6235
O 2.4099 -8.4276 -2.4226
O 0.4194 -5.7167 -3.6911
O 1.9651 -7.4367 0.3930
Ac 0.0000 0.0000 0.0000
Se 1.2596 -3.5773 -0.6180
Se 1.1250 -9.5761 -2.6800
Co 1.1923 -6.5767 -1.6490